Record 1
K2CrPb after structural relaxation. Source: the Alexandria database, functional PBE.

abc: 5.699 3.808 7.419
angles: 58.98 90.00 90.00
Last column: magnetic moment on the atom in μB.
Fractional coordinates of all 4 atoms:
Cr 0.500 0.750 0.750  4.12
K 0.000 0.995 0.003  0.01
K 0.000 0.505 0.497  0.01
Pb 0.500 0.250 0.250  -0.08

Magnetic moment in μB/cell: 4.8
Formation energy in eV per atom: 0.5611

---

Record 2
K2CrPb after structural relaxation. Source: the Alexandria database, functional PBE.

abc: 3.549 3.549 11.224
angles: 90.00 90.00 90.00
Last column: magnetic moment on the atom in μB.
Fractional coordinates of all 4 atoms:
Pb 0.500 0.500 0.250  0.00
K 0.000 0.000 0.998  0.01
Cr 0.500 0.500 0.750  4.15
K 0.000 0.000 0.502  0.01

Magnetic moment in μB/cell: 5.1
Formation energy in eV per atom: 0.6033

---

Record 3
K2CrPb after structural relaxation. Source: the Alexandria database, functional PBE.

abc: 5.823 4.779 4.779
angles: 90.00 90.00 90.00
Last column: magnetic moment on the atom in μB.
Fractional coordinates of all 4 atoms:
Pb 0.500 0.500 0.000  -0.14
K 0.000 0.500 0.500  0.01
Cr 0.500 0.000 0.500  4.09
K 0.000 0.000 0.000  0.01

Magnetic moment in μB/cell: 4.6
Formation energy in eV per atom: 0.5404

---

Record 4
K2CrPd after structural relaxation. Source: the Alexandria database, functional PBE.

abc: 11.995 11.995 8.846
angles: 47.32 47.32 90.00
Last column: magnetic moment on the atom in μB.
Fractional coordinates of all 8 atoms:
K 0.795 0.125 0.250  0.01
Pd 0.750 0.250 0.500  0.04
Cr 0.250 0.750 0.500  4.01
K 0.375 0.205 0.750  0.01
K 0.955 0.625 0.250  0.01
Pd 0.000 0.000 0.000  0.04
K 0.875 0.045 0.750  0.01
Cr 0.500 0.500 0.000  4.01

Magnetic moment in μB/cell: 10.3
Formation energy in eV per atom: 0.5655

---

Record 5
KCr2Pd2 after structural relaxation. Source: the Alexandria database, functional PBE.

abc: 7.946 7.946 2.759
angles: 90.00 90.00 90.00
Fractional coordinates of all 10 atoms:
Pd 0.699 0.801 0.500
Cr 0.917 0.583 0.000
Cr 0.417 0.917 0.000
Pd 0.301 0.199 0.500
K 0.500 0.500 0.000
Cr 0.083 0.417 0.000
K 0.000 0.000 0.000
Cr 0.583 0.083 0.000
Pd 0.199 0.699 0.500
Pd 0.801 0.301 0.500

Magnetic moment in μB/cell: 0.0
Formation energy in eV per atom: 0.3868

---

Record 6
KCr2Pd after structural relaxation. Source: the Alexandria database, functional PBE.

abc: 5.594 5.594 9.409
angles: 72.71 72.71 90.00
Last column: magnetic moment on the atom in μB.
Fractional coordinates of all 8 atoms:
Cr 0.875 0.625 0.250  3.89
Cr 0.375 0.125 0.750  3.89
Pd 0.750 0.250 0.500  0.06
Cr 0.875 0.125 0.750  3.89
K 0.250 0.750 0.500  0.02
K 0.500 0.500 0.000  0.02
Cr 0.875 0.125 0.250  3.89
Pd 0.000 0.000 0.000  0.06

Magnetic moment in μB/cell: 18.5
Formation energy in eV per atom: 1.0344

---

Record 7
KCr3Pd after structural relaxation. Source: the Alexandria database, functional PBE.

abc: 5.111 5.111 5.111
angles: 90.00 90.00 90.00
Last column: magnetic moment on the atom in μB.
Fractional coordinates of all 5 atoms:
K 0.500 0.500 0.500  0.03
Cr 0.000 0.500 0.000  3.87
Pd 0.000 0.000 0.000  0.20
Cr 0.000 0.000 0.500  3.95
Cr 0.500 0.000 0.000  3.79

Magnetic moment in μB/cell: 13.6
Formation energy in eV per atom: 1.1163

---

Record 8
KCr2Pd after structural relaxation. Source: the Alexandria database, functional PBE.

abc: 4.494 4.494 4.494
angles: 60.00 60.00 60.00
Fractional coordinates of all 4 atoms:
Pd 0.500 0.500 0.500
K 0.000 0.000 0.000
Cr 0.250 0.250 0.250
Cr 0.750 0.750 0.750

Magnetic moment in μB/cell: 0.0
Formation energy in eV per atom: 1.6656

---

Record 9
KCrPd3 after structural relaxation. Source: the Alexandria database, functional PBE.

abc: 4.733 4.733 4.733
angles: 90.00 90.00 90.00
Fractional coordinates of all 5 atoms:
Pd 0.000 0.000 0.500
Pd 0.500 0.000 0.000
Pd 0.000 0.500 0.000
Cr 0.000 0.000 0.000
K 0.500 0.500 0.500

Magnetic moment in μB/cell: 0.0
Formation energy in eV per atom: 0.6078

---

Record 10
K2CrPd after structural relaxation. Source: the Alexandria database, functional PBE.

abc: 5.601 5.601 5.601
angles: 60.00 60.00 60.00
Last column: magnetic moment on the atom in μB.
Fractional coordinates of all 4 atoms:
Pd 0.500 0.500 0.500  0.06
Cr 0.000 0.000 0.000  4.34
K 0.750 0.750 0.750  0.03
K 0.250 0.250 0.250  0.03

Magnetic moment in μB/cell: 5.6
Formation energy in eV per atom: 0.7803

---

Record 11
KCr2Pd2 after structural relaxation. Source: the Alexandria database, functional PBE.

abc: 4.619 4.619 5.489
angles: 65.12 65.12 90.00
Fractional coordinates of all 5 atoms:
Cr 0.602 0.602 0.796
Cr 0.398 0.398 0.204
K 0.000 0.000 0.000
Pd 0.250 0.750 0.500
Pd 0.750 0.250 0.500

Magnetic moment in μB/cell: 0.0
Formation energy in eV per atom: 0.6177

---

Record 12
KCr2Pd2 after structural relaxation. Source: the Alexandria database, functional PBE.

abc: 3.240 3.240 9.435
angles: 80.11 80.11 90.00
Fractional coordinates of all 5 atoms:
Cr 0.250 0.750 0.500
Cr 0.750 0.250 0.500
K 0.000 0.000 0.000
Pd 0.638 0.638 0.725
Pd 0.362 0.362 0.275

Magnetic moment in μB/cell: 0.0
Formation energy in eV per atom: 0.5057

---

Per-record calculated volume, Å³ per cell: 138; 141; 133; 362; 174; 267; 134; 64; 106; 124; 94; 96